(1)
Here is a relaxed structure of Tb3Bi2As from the Alexandria database. Energies are from PBE.

POSCAR file:
```
Tb3Bi2As
1.0
-2.1922 2.1922 9.2787
2.1922 -2.1922 9.2787
2.1922 2.1922 -9.2787
Tb Bi As
3 2 1
direct
0.0000 0.0000 0.0000
0.3442 0.3442 0.0000
0.6558 0.6558 0.0000
0.1695 0.1695 0.0000
0.8305 0.8305 0.0000
0.5000 0.5000 0.0000
```

Calculated values
Formation enthalpy at 0 K, meV per atom: -1055
Fermi-level density of states, states/eV/cell: 0.829

---

(2)
Here is a relaxed structure of Rb4Ce3UTe8 from the Alexandria database. Energies are from PBE.

POSCAR file:
```
Rb4Ce3UTe8
1.0
4.6606 2.6908 8.5619
-4.6606 2.6908 8.5619
0.0000 -5.3816 8.5619
Rb Ce U Te
4 3 1 8
direct
0.0000 0.0000 0.0000
0.0000 0.5000 0.5000
0.5000 0.0000 0.5000
0.5000 0.5000 0.0000
0.0000 0.0000 0.5000
0.0000 0.5000 0.0000
0.5000 0.0000 0.0000
0.5000 0.5000 0.5000
0.2352 0.2352 0.2352
0.2390 0.7322 0.7322
0.2678 0.2678 0.7610
0.2678 0.7610 0.2678
0.7322 0.2390 0.7322
0.7322 0.7322 0.2390
0.7610 0.2678 0.2678
0.7648 0.7648 0.7648
```

Calculated values
Formation energy without anion corrections, eV per atom: -1.209
Fermi-level density of states, states/eV/cell: 26.336

---

(3)
Here is a relaxed structure of Rb3CeSm2Se6 from the Alexandria database. Energies are from PBE.

POSCAR file:
```
Rb3CeSm2Se6
1.0
3.7757 -6.5400 0.0000
3.7757 6.5400 0.0000
-2.5171 0.0000 8.0028
Rb Ce Sm Se
3 1 2 6
direct
0.0000 0.0000 0.0000
0.3335 0.6665 0.0000
0.6665 0.3335 0.0000
0.5000 0.5000 0.5000
0.1667 0.8333 0.5000
0.8333 0.1667 0.5000
0.0970 0.4336 0.3009
0.2297 0.2297 0.6991
0.4336 0.0970 0.3009
0.5664 0.9030 0.6991
0.7703 0.7703 0.3009
0.9030 0.5664 0.6991
```

Calculated values
Formation energy without anion corrections, eV per atom: -1.715
Fermi-level density of states, states/eV/cell: 5.115

---

(4)
Here is a relaxed structure of SiNiAg2 from the Alexandria database. Energies are from PBE.

POSCAR file:
```
SiNiAg2
1.0
2.9753 0.0000 0.0000
0.0000 2.8176 0.0000
-1.4598 0.0000 7.3925
Si Ni Ag
1 1 2
direct
0.0000 0.0000 0.0000
0.5739 0.5000 0.1509
0.2014 0.0000 0.4107
0.8427 0.5000 0.6986
```

Calculated values
Formation energy without anion corrections, eV per atom: -0.036
Fermi-level density of states, states/eV/cell: 1.372

---

(5)
Here is a relaxed structure of Ho6ErIn2 from the Alexandria database. Energies are from PBE.

POSCAR file:
```
Ho6ErIn2
1.0
-2.3606 2.3606 14.5689
2.3606 -2.3606 14.5689
2.3606 2.3606 -14.5689
Ho Er In
6 1 2
direct
0.1520 0.6537 0.0000
0.2500 0.7500 0.5000
0.3463 0.3463 0.4982
0.6537 0.1520 0.0000
0.7500 0.2500 0.5000
0.8480 0.8480 0.5018
0.5000 0.5000 0.0000
0.1816 0.1816 0.0000
0.8184 0.8184 0.0000
```

Calculated values
Formation enthalpy at 0 K, meV per atom: 494
Offset from the most stable computed form, kJ/mol of atoms: 67.3
Fermi-level density of states, states/eV/cell: 10.564

---

(6)
Here is a relaxed structure of NaSiTcO6 from the Alexandria database. Energies are from PBE.

POSCAR file:
```
NaSiTcO6
1.0
4.9486 0.0000 0.0000
-2.4743 4.2857 0.0000
0.0000 0.0000 5.2307
Na Si Tc O
1 1 1 6
direct
0.0000 0.0000 0.0000
0.6667 0.3333 0.5533
0.3333 0.6667 0.4942
0.3889 0.3668 0.3321
0.3973 0.0070 0.7251
0.6097 0.6027 0.7251
0.6332 0.0221 0.3321
0.9779 0.6111 0.3321
0.9930 0.3903 0.7251
```

Calculated values
Formation energy without anion corrections, eV per atom: -1.735

---

(7)
Here is a relaxed structure of SrOsRh from the Alexandria database. Energies are from PBE.

POSCAR file:
```
SrOsRh
1.0
-1.4953 1.4953 6.5579
1.4953 -1.4953 6.5579
1.4953 1.4953 -6.5579
Sr Os Rh
1 1 1
direct
0.0000 0.0000 0.0000
0.6908 0.6908 0.0000
0.3055 0.3055 0.0000
```

Calculated values
Formation enthalpy at 0 K, meV per atom: 455
Offset from the most stable computed form, kJ/mol of atoms: 12.1
Fermi-level density of states, states/eV/cell: 3.577

---

(8)
Here is a relaxed structure of Cs2CdH from the Alexandria database. Energies are from PBE.

POSCAR file:
```
Cs2CdH
1.0
-4.5454 4.5454 4.7760
4.5454 -4.5454 4.7760
4.5454 4.5454 -4.7760
Cs Cd H
4 2 2
direct
0.0266 0.6250 0.9016
0.3750 0.2766 0.4016
0.7234 0.1250 0.0984
0.8750 0.9734 0.5984
0.2500 0.7500 0.5000
0.5000 0.5000 0.0000
0.0000 0.0000 0.0000
0.7500 0.2500 0.5000
```

Calculated values
Offset from the most stable computed form, kJ/mol of atoms: 2.8
Fermi-level density of states, states/eV/cell: 7.673

---

(9)
Here is a relaxed structure of CoHgSb2 from the Alexandria database. Energies are from PBE.

POSCAR file:
```
CoHgSb2
1.0
-2.3203 2.3203 4.0256
2.3203 -2.3203 4.0256
2.3203 2.3203 -4.0256
Co Hg Sb
1 1 2
direct
0.0000 0.0000 0.0000
0.5000 0.5000 0.0000
0.2500 0.7500 0.5000
0.7500 0.2500 0.5000
```

Calculated values
Formation energy without anion corrections, eV per atom: 0.500
Fermi-level density of states, states/eV/cell: 3.664

---

(10)
Here is a relaxed structure of ScZn2Ni2 from the Alexandria database. Energies are from PBE.

POSCAR file:
```
ScZn2Ni2
1.0
7.1518 0.0000 0.0000
0.0000 7.1518 0.0000
0.0000 0.0000 2.7603
Sc Zn Ni
2 4 4
direct
0.0000 0.0000 0.0000
0.5000 0.5000 0.0000
0.1224 0.3776 0.0000
0.3776 0.8776 0.0000
0.6224 0.1224 0.0000
0.8776 0.6224 0.0000
0.1765 0.6765 0.5000
0.3235 0.1765 0.5000
0.6765 0.8235 0.5000
0.8235 0.3235 0.5000
```

Calculated values
Formation enthalpy at 0 K, meV per atom: -271
Offset from the most stable computed form, kJ/mol of atoms: 8.0
Fermi-level density of states, states/eV/cell: 6.059

---

(11)
Here is a relaxed structure of AgH4Pt3 from the Alexandria database. Energies are from PBE.

POSCAR file:
```
AgH4Pt3
1.0
5.3963 0.0000 0.0000
0.0000 5.3963 0.0000
0.0000 0.0000 5.3963
Ag H Pt
2 8 6
direct
0.0000 0.0000 0.0000
0.5000 0.5000 0.5000
0.2500 0.2500 0.2500
0.2500 0.2500 0.7500
0.2500 0.7500 0.2500
0.2500 0.7500 0.7500
0.7500 0.2500 0.2500
0.7500 0.2500 0.7500
0.7500 0.7500 0.2500
0.7500 0.7500 0.7500
0.0000 0.2500 0.5000
0.0000 0.7500 0.5000
0.2500 0.5000 0.0000
0.5000 0.0000 0.2500
0.5000 0.0000 0.7500
0.7500 0.5000 0.0000
```

Calculated values
Offset from the most stable computed form, kJ/mol of atoms: 9.4
Fermi-level density of states, states/eV/cell: 4.995

---

(12)
Here is a relaxed structure of ZrCoPdAu from the Alexandria database. Energies are from PBE.

POSCAR file:
```
ZrCoPdAu
1.0
0.0000 3.1862 3.1862
3.1862 0.0000 3.1862
3.1862 3.1862 0.0000
Zr Co Pd Au
1 1 1 1
direct
0.0000 0.0000 0.0000
0.2500 0.2500 0.2500
0.7500 0.7500 0.7500
0.5000 0.5000 0.5000
```

Calculated values
Formation enthalpy at 0 K, meV per atom: -331
Fermi-level density of states, states/eV/cell: 1.763

---

(13)
Here is a relaxed structure of NdEr4Sc3 from the Alexandria database. Energies are from PBE.

POSCAR file:
```
NdEr4Sc3
1.0
10.8998 0.0000 0.0000
0.0000 7.0241 0.0000
0.0000 0.0000 6.0433
Nd Er Sc
2 8 6
direct
0.0000 0.1190 0.0000
0.5000 0.8810 0.5000
0.0000 0.3710 0.4972
0.0000 0.6302 0.9925
0.2456 0.6301 0.3367
0.2544 0.3699 0.8367
0.5000 0.3698 0.4925
0.5000 0.6290 0.9972
0.7456 0.3699 0.8367
0.7544 0.6301 0.3367
0.0000 0.8766 0.5018
0.2489 0.1209 0.3307
0.2511 0.8791 0.8307
0.5000 0.1234 0.0018
0.7489 0.8791 0.8307
0.7511 0.1209 0.3307
```

Calculated values
Formation enthalpy at 0 K, meV per atom: 26
Offset from the most stable computed form, kJ/mol of atoms: 0.0
Fermi-level density of states, states/eV/cell: 26.564

---

(14)
Here is a relaxed structure of Na2InIr from the Alexandria database. Energies are from PBE.

POSCAR file:
```
Na2InIr
1.0
-1.9666 1.9666 10.8797
1.9666 -1.9666 10.8797
1.9666 1.9666 -10.8797
Na In Ir
4 2 2
direct
0.1090 0.6250 0.9840
0.3750 0.3590 0.4840
0.6410 0.1250 0.0160
0.8750 0.8910 0.5160
0.2500 0.7500 0.5000
0.5000 0.5000 0.0000
0.0000 0.0000 0.0000
0.7500 0.2500 0.5000
```

Calculated values
Formation enthalpy at 0 K, meV per atom: 281
Fermi-level density of states, states/eV/cell: 3.679

---

(15)
Here is a relaxed structure of BaIn2PbCl6 from the Alexandria database. Energies are from PBE.

POSCAR file:
```
BaIn2PbCl6
1.0
3.9813 2.2986 6.6933
-3.9813 2.2986 6.6933
0.0000 -4.5972 6.6933
Ba In Pb Cl
1 2 1 6
direct
0.0000 0.0000 0.0000
0.2863 0.2863 0.2863
0.7885 0.7885 0.7885
0.4962 0.4962 0.4962
0.1419 0.3694 0.6894
0.2069 0.8552 0.6279
0.3694 0.6894 0.1419
0.6279 0.2069 0.8552
0.6894 0.1419 0.3694
0.8552 0.6279 0.2069
```

Calculated values
Formation energy without anion corrections, eV per atom: -1.410
Fermi-level density of states, states/eV/cell: 0.000

---

(16)
Here is a relaxed structure of CeDy4Sc from the Alexandria database. Energies are from PBE.

POSCAR file:
```
CeDy4Sc
1.0
12.2468 0.0000 0.0000
0.0000 5.5983 0.0000
0.0000 0.0000 10.6125
Ce Dy Sc
4 16 4
direct
0.2103 0.2500 0.0832
0.2897 0.7500 0.5832
0.7103 0.2500 0.4168
0.7897 0.7500 0.9168
0.0413 0.7500 0.7459
0.0439 0.7500 0.0828
0.2042 0.2500 0.4210
0.2122 0.2500 0.7518
0.2878 0.7500 0.2518
0.2958 0.7500 0.9210
0.4561 0.2500 0.5828
0.4587 0.2500 0.2459
0.5413 0.7500 0.7541
0.5439 0.7500 0.4172
0.7042 0.2500 0.0790
0.7122 0.2500 0.7482
0.7878 0.7500 0.2482
0.7958 0.7500 0.5790
0.9561 0.2500 0.9172
0.9587 0.2500 0.2541
0.0423 0.7500 0.4201
0.4577 0.2500 0.9201
0.5423 0.7500 0.0799
0.9577 0.2500 0.5799
```

Calculated values
Formation enthalpy at 0 K, meV per atom: 65
Fermi-level density of states, states/eV/cell: 53.006

---

(17)
Here is a relaxed structure of Pr4Ho3Th from the Alexandria database. Energies are from PBE.

POSCAR file:
```
Pr4Ho3Th
1.0
11.9076 -1.7396 0.0000
11.9076 1.7396 0.0000
-1.9518 0.0000 6.6040
Pr Ho Th
4 3 1
direct
0.1209 0.1209 0.3625
0.2585 0.2585 0.7670
0.7415 0.7415 0.2330
0.8791 0.8791 0.6375
0.0000 0.0000 0.5000
0.1213 0.1213 0.8827
0.8787 0.8787 0.1173
0.5000 0.5000 0.0000
```

Calculated values
Formation enthalpy at 0 K, meV per atom: 171
Offset from the most stable computed form, kJ/mol of atoms: 13.1
Fermi-level density of states, states/eV/cell: 13.592

---

(18)
Here is a relaxed structure of LiSi2Ag from the Alexandria database. Energies are from PBE.

POSCAR file:
```
LiSi2Ag
1.0
-1.9100 1.9100 4.2030
1.9100 -1.9100 4.2030
1.9100 1.9100 -4.2030
Li Si Ag
1 2 1
direct
0.0000 0.0000 0.0000
0.2500 0.7500 0.5000
0.7500 0.2500 0.5000
0.5000 0.5000 0.0000
```

Calculated values
Formation energy without anion corrections, eV per atom: 0.094
Offset from the most stable computed form, kJ/mol of atoms: 4.2
Fermi-level density of states, states/eV/cell: 0.957

---

(19)
Here is a relaxed structure of CeZnInCo from the Alexandria database. Energies are from PBE.

POSCAR file:
```
CeZnInCo
1.0
0.0000 3.3649 3.3649
3.3649 0.0000 3.3649
3.3649 3.3649 0.0000
Ce Zn In Co
1 1 1 1
direct
0.0000 0.0000 0.0000
0.2500 0.2500 0.2500
0.5000 0.5000 0.5000
0.7500 0.7500 0.7500
```

Calculated values
Formation enthalpy at 0 K, meV per atom: -155
Fermi-level density of states, states/eV/cell: 4.410

---

(20)
Here is a relaxed structure of TiTeSN2 from the Alexandria database. Energies are from PBE.

POSCAR file:
```
TiTeSN2
1.0
3.8465 0.0000 0.0000
0.0000 3.8465 0.0000
0.0000 0.0000 6.2410
Ti Te S N
1 1 1 2
direct
0.0000 0.0000 0.0000
0.0000 0.0000 0.5000
0.5000 0.5000 0.5000
0.0000 0.5000 0.0000
0.5000 0.0000 0.0000
```

Calculated values
Formation energy without anion corrections, eV per atom: 0.460
Offset from the most stable computed form, kJ/mol of atoms: 7.6
Fermi-level density of states, states/eV/cell: 3.774